An optimized crystal structure of SrV2CrO8. Source: the Alexandria database, functional GGA+U.

Computed properties:
* V: 160 Å³/f.u.
* crystal system: tetragonal
* uncorrected energy: -7.07 eV/atom

Unit cell a=7.1662 b=7.1662 c=6.2139 alpha=90.00 beta=90.00 gamma=90.00
Space group I-4m2 (No. 119)
Inequivalent atoms, fractional coordinates:
Sr: 0.0000 0.0000 0.0000
V: 0.0000 0.0000 0.5000
V: 0.0000 0.5000 0.7500
Cr: 0.0000 0.5000 0.2500
O: 0.0000 0.2014 0.3394
O: 0.0000 0.3305 0.9502